# PBE-GGA CdP2SeS, relaxed
# space-group type: P4/mmm (123)
# energy above the most stable polymorph in this dataset: 0 meV/atom
data_CdP2SeS
_chemical_formula_sum 'Cd1 P2 Se1 S1'
_space_group_name_H-M_alt 'P 1'
_space_group_IT_number 1
_space_group_name_Hall 'P 1'
_cell_length_a 4.843
_cell_length_b 4.843
_cell_length_c 4.801
_cell_angle_alpha 90.00
_cell_angle_beta 90.00
_cell_angle_gamma 90.00
loop_
_atom_site_label
_atom_site_type_symbol
_atom_site_fract_x
_atom_site_fract_y
_atom_site_fract_z
S1 S 0.000 0.000 0.500
P1 P 0.000 0.500 0.000
P2 P 0.500 0.000 0.000
Se1 Se 0.000 0.000 0.000
Cd1 Cd 0.500 0.500 0.500

# PBE-GGA CdPSeS2, relaxed
# space-group type: P4/mmm (123)
# energy above the most stable polymorph in this dataset: 0 meV/atom
data_CdPSeS2
_chemical_formula_sum 'Cd1 P1 Se1 S2'
_space_group_name_H-M_alt 'P 1'
_space_group_IT_number 1
_space_group_name_Hall 'P 1'
_cell_length_a 4.809
_cell_length_b 4.809
_cell_length_c 4.853
_cell_angle_alpha 90.00
_cell_angle_beta 90.00
_cell_angle_gamma 90.00
loop_
_atom_site_label
_atom_site_type_symbol
_atom_site_fract_x
_atom_site_fract_y
_atom_site_fract_z
P1 P 0.000 0.000 0.500
S1 S 0.500 0.000 0.000
S2 S 0.000 0.500 0.000
Cd1 Cd 0.500 0.500 0.500
Se1 Se 0.000 0.000 0.000

# PBE-GGA CdSiPS2, relaxed
# space-group type: P4/mmm (123)
# energy above the most stable polymorph in this dataset: 806 meV/atom
data_CdSiPS2
_chemical_formula_sum 'Cd1 Si1 P1 S2'
_space_group_name_H-M_alt 'P 1'
_space_group_IT_number 1
_space_group_name_Hall 'P 1'
_cell_length_a 4.957
_cell_length_b 4.957
_cell_length_c 4.917
_cell_angle_alpha 90.00
_cell_angle_beta 90.00
_cell_angle_gamma 90.00
loop_
_atom_site_label
_atom_site_type_symbol
_atom_site_fract_x
_atom_site_fract_y
_atom_site_fract_z
S1 S 0.500 0.000 0.000
S2 S 0.000 0.500 0.000
Cd1 Cd 0.000 0.000 0.000
Si1 Si 0.500 0.500 0.500
P1 P 0.000 0.000 0.500

# PBE-GGA CdSiP2S, relaxed
# space-group type: P4/mmm (123)
# energy above the most stable polymorph in this dataset: 0 meV/atom
data_CdSiP2S
_chemical_formula_sum 'Cd1 Si1 P2 S1'
_space_group_name_H-M_alt 'P 1'
_space_group_IT_number 1
_space_group_name_Hall 'P 1'
_cell_length_a 4.588
_cell_length_b 4.588
_cell_length_c 4.570
_cell_angle_alpha 90.00
_cell_angle_beta 90.00
_cell_angle_gamma 90.00
loop_
_atom_site_label
_atom_site_type_symbol
_atom_site_fract_x
_atom_site_fract_y
_atom_site_fract_z
Cd1 Cd 0.500 0.500 0.500
S1 S 0.000 0.000 0.500
Si1 Si 0.000 0.000 0.000
P1 P 0.000 0.500 0.000
P2 P 0.500 0.000 0.000

# PBE-GGA Cd2SiPS, relaxed
# space-group type: P4/mmm (123)
data_Cd2SiPS
_chemical_formula_sum 'Cd2 Si1 P1 S1'
_space_group_name_H-M_alt 'P 1'
_space_group_IT_number 1
_space_group_name_Hall 'P 1'
_cell_length_a 5.005
_cell_length_b 4.710
_cell_length_c 5.005
_cell_angle_alpha 90.00
_cell_angle_beta 90.00
_cell_angle_gamma 90.00
loop_
_atom_site_label
_atom_site_type_symbol
_atom_site_fract_x
_atom_site_fract_y
_atom_site_fract_z
S1 S 0.500 0.500 0.500
P1 P 0.000 0.000 0.000
Cd1 Cd 0.500 0.000 0.000
Cd2 Cd 0.000 0.000 0.500
Si1 Si 0.000 0.500 0.000

# PBE-GGA CdSiPS2, relaxed
# space-group type: P4/mmm (123)
# energy above the most stable polymorph in this dataset: 0 meV/atom
data_CdSiPS2
_chemical_formula_sum 'Cd1 Si1 P1 S2'
_space_group_name_H-M_alt 'P 1'
_space_group_IT_number 1
_space_group_name_Hall 'P 1'
_cell_length_a 4.526
_cell_length_b 4.526
_cell_length_c 4.692
_cell_angle_alpha 90.00
_cell_angle_beta 90.00
_cell_angle_gamma 90.00
loop_
_atom_site_label
_atom_site_type_symbol
_atom_site_fract_x
_atom_site_fract_y
_atom_site_fract_z
Cd1 Cd 0.500 0.500 0.500
Si1 Si 0.000 0.000 0.000
S1 S 0.500 0.000 0.000
S2 S 0.000 0.500 0.000
P1 P 0.000 0.000 0.500

| no. | total moment (μB per formula unit) | formation energy without anion corrections (eV/f.u.) |
| --- | --- | --- |
| 1 | 0.75 | 4.4 |
| 2 | 0.47 | 3.5 |
| 3 | 0.80 | 5.7 |
| 4 | 0.28 | 2.6 |
| 5 | 0.00 | 2.6 |
| 6 | 0.00 | 1.7 |